# 1
DFT (GGA-PBE) results for a relaxed structure of La3PrBi4.

Energy relative to the elements, meV per atom: -1033

abc: 9.3766 13.2592 4.6925
angles: 90.00 90.00 90.00
Last column: nearest neighbours and their distance in Å.
Space group Cmmm (No. 65)
Inequivalent atoms, fractional coordinates:
La (0.0000, 0.0000, 0.0000) (multiplicity 2)  6 Bi 3.33
La (0.2500, 0.2500, 0.5000) (multiplicity 4)  6 Bi 3.31-3.32
Pr (0.0000, 0.5000, 0.0000) (multiplicity 2)  6 Bi 3.30-3.31
Bi (0.0000, 0.2508, 0.0000) (multiplicity 4)  1 Pr 3.30, 5 La 3.32-3.33
Bi (0.2486, 0.5000, 0.5000) (multiplicity 4)  2 Pr 3.31, 4 La 3.31-3.33



# 2
DFT (GGA-PBE) results for a relaxed structure of Sb2HRh.

Energy above the most stable polymorph in this dataset, meV per atom: 178

abc: 5.2452 5.2452 12.0031
angles: 90.00 90.00 90.00
Last column: nearest neighbours and their distance in Å.
Space group I-42d (No. 122)
Inequivalent atoms, fractional coordinates:
Sb (0.1989, 0.2500, 0.1250) (multiplicity 8)  2 H 2.25
H (0.0000, 0.0000, 0.0000) (multiplicity 4)  4 Sb 2.25
Rh (0.0000, 0.0000, 0.5000) (multiplicity 4)  4 Sb 2.54



# 3
DFT (GGA-PBE) results for a relaxed structure of HfCoGe.

Energy relative to the elements, meV per atom: -676

abc: 6.4839 3.9203 7.1958
angles: 90.00 90.00 90.00
Last column: nearest neighbours and their distance in Å.
Space group Pnma (No. 62)
Inequivalent atoms, fractional coordinates:
Hf (0.0089, 0.2500, 0.2000) (multiplicity 4)  4 Co 2.75-3.06, 5 Ge 2.76-2.79
Co (0.1441, 0.2500, 0.5701) (multiplicity 4)  4 Ge 2.39-2.48
Ge (0.2270, 0.7500, 0.3945) (multiplicity 4)  4 Co 2.39-2.48



# 4
DFT (GGA-PBE) results for a relaxed structure of SrPm5Zn6.

Energy relative to the elements, meV per atom: -278

abc: 5.2116 15.6805 7.3941
angles: 90.00 90.00 90.00
Last column: nearest neighbours and their distance in Å.
Space group Cmmm (No. 65)
Inequivalent atoms, fractional coordinates:
Sr (0.0000, 0.0000, 0.0000) (multiplicity 2)  8 Zn 3.25-3.30
Pm (0.0000, 0.0000, 0.5000) (multiplicity 2)  8 Zn 3.14-3.25
Pm (0.0000, 0.3342, 0.0000) (multiplicity 4)  8 Zn 3.16-3.25
Pm (0.0000, 0.3346, 0.5000) (multiplicity 4)  8 Zn 3.12-3.17
Zn (0.0000, 0.1725, 0.2558) (multiplicity 8)  7 Pm 3.12-3.25, 1 Sr 3.30
Zn (0.0000, 0.5000, 0.2631) (multiplicity 4)  6 Pm 3.13-3.25, 2 Sr 3.25, 1 Zn 3.50



# 5
DFT (GGA-PBE) results for a relaxed structure of Re4SiTc.

Uncorrected formation energy, eV/atom: 0.6477

abc: 7.2426 7.2426 7.2426
angles: 90.00 90.00 90.00
Last column: nearest neighbours and their distance in Å.
Space group F-43m (No. 216)
Inequivalent atoms, fractional coordinates:
Re (0.1242, 0.1242, 0.3758) (multiplicity 16)  6 Re 2.54-2.58
Si (0.2500, 0.2500, 0.7500) (multiplicity 4)  12 Re 3.00, 4 Tc 3.14
Tc (0.0000, 0.0000, 0.0000) (multiplicity 4)  12 Re 3.00, 4 Si 3.14



# 6
DFT (GGA-PBE) results for a relaxed structure of CdSn2As.

Energy relative to the elements, meV per atom: 170
Energy above the most stable polymorph in this dataset, meV per atom: 155

abc: 7.3559 7.3559 7.3559
angles: 90.00 90.00 90.00
Last column: nearest neighbours and their distance in Å.
Space group Fm-3m (No. 225)
Inequivalent atoms, fractional coordinates:
Cd (0.0000, 0.0000, 0.0000) (multiplicity 4)  8 Sn 3.19
Sn (0.2500, 0.2500, 0.2500) (multiplicity 8)  4 Cd 3.19, 4 As 3.19
As (0.0000, 0.0000, 0.5000) (multiplicity 4)  8 Sn 3.19



# 7
DFT (GGA-PBE) results for a relaxed structure of CaPm2Y2.

Energy relative to the elements, meV per atom: 47

abc: 5.6176 17.6161 3.5682
angles: 90.00 90.00 90.00
Last column: nearest neighbours and their distance in Å.
Space group Cmmm (No. 65)
Inequivalent atoms, fractional coordinates:
Ca (0.0000, 0.0000, 0.0000) (multiplicity 2)  2 Y 3.54, 2 Ca 3.57, 8 Pm 3.94
Pm (0.0000, 0.3799, 0.5000) (multiplicity 4)  2 Pm 3.57, 6 Y 3.62, 4 Ca 3.94
Y (0.0000, 0.2010, 0.0000) (multiplicity 4)  4 Y 3.30-3.57, 1 Ca 3.54, 6 Pm 3.62



# 8
DFT (GGA-PBE) results for a relaxed structure of Sm3Mg2Pd3.

Energy relative to the elements, meV per atom: -583
Energy above the most stable polymorph in this dataset, meV per atom: 94

abc: 3.5155 5.0781 20.6606
angles: 90.00 90.00 90.00
Last column: nearest neighbours and their distance in Å.
Space group Immm (No. 71)
Inequivalent atoms, fractional coordinates:
Sm (0.0000, 0.0000, 0.0000) (multiplicity 2)  8 Pd 3.09-3.13
Sm (0.0000, 0.5000, 0.1204) (multiplicity 4)  6 Pd 3.05-3.09
Mg (0.0000, 0.0000, 0.2310) (multiplicity 4)  2 Pd 2.80
Pd (0.0000, 0.0000, 0.5000) (multiplicity 2)  8 Sm 3.05-3.09
Pd (0.0000, 0.5000, 0.3746) (multiplicity 4)  2 Mg 2.80, 6 Sm 3.09-3.13



# 9
DFT (GGA-PBE) results for a relaxed structure of PuNbPbO6.

Uncorrected formation energy, eV/atom: -2.3191

abc: 5.6193 5.6193 10.5061
angles: 90.00 90.00 120.00
Last column: nearest neighbours and their distance in Å.
Space group P-31c (No. 163)
Inequivalent atoms, fractional coordinates:
Pu (0.3333, 0.6667, 0.2500) (multiplicity 2)  6 O 2.14
Nb (0.3333, 0.6667, 0.7500) (multiplicity 2)  6 O 2.03
Pb (0.0000, 0.0000, 0.0000) (multiplicity 2)  6 O 2.60
O (0.0145, 0.3806, 0.6456) (multiplicity 12)  1 Nb 2.03, 1 Pu 2.14



# 10
DFT (GGA-PBE) results for a relaxed structure of BiAs3.

Energy relative to the elements, meV per atom: 2
Energy above the most stable polymorph in this dataset, meV per atom: 0

abc: 8.0877 8.0877 11.4689
angles: 90.00 90.00 120.00
Last column: nearest neighbours and their distance in Å.
Space group R-3m (No. 166, hexagonal axes)
Inequivalent atoms, fractional coordinates:
Bi (0.0000, 0.0000, 0.2407) (multiplicity 6)  6 As 2.89-3.21
As (0.0212, 0.5106, 0.2214) (multiplicity 18)  2 As 2.52



# 11
DFT (GGA-PBE) results for a relaxed structure of La2Ga4CuPd3.

Energy relative to the elements, meV per atom: -732

abc: 4.4415 4.4415 10.0419
angles: 90.00 90.00 90.00
Last column: nearest neighbours and their distance in Å.
Space group P-4m2 (No. 115)
Inequivalent atoms, fractional coordinates:
La (0.0000, 0.5000, 0.2487) (multiplicity 2)  2 Cu 3.34, 6 Pd 3.34-3.37, 9 Ga 3.36-3.70
Ga (0.0000, 0.0000, 0.5000) (multiplicity 1)  4 Pd 2.58
Ga (0.0000, 0.5000, 0.8805) (multiplicity 2)  3 Pd 2.51-2.52, 2 Cu 2.52
Ga (0.5000, 0.5000, 0.5000) (multiplicity 1)  4 Pd 2.58
Cu (0.5000, 0.5000, 0.0000) (multiplicity 1)  4 Ga 2.52
Pd (0.0000, 0.0000, 0.0000) (multiplicity 1)  4 Ga 2.52
Pd (0.0000, 0.5000, 0.6304) (multiplicity 2)  5 Ga 2.51-2.58



# 12
DFT (GGA-PBE) results for a relaxed structure of SmGaNiIr.

Energy relative to the elements, meV per atom: -316

abc: 4.3849 3.2750 9.7418
angles: 90.00 90.00 90.00
Last column: nearest neighbours and their distance in Å.
Space group Amm2 (No. 38)
Inequivalent atoms, fractional coordinates:
Sm (0.0000, 0.0000, 0.0000) (multiplicity 2)  1 Ni 2.53
Ga (0.5000, 0.0000, 0.3575) (multiplicity 2)  2 Ni 2.39, 2 Ir 2.61
Ni (0.0000, 0.0000, 0.2594) (multiplicity 2)  2 Ga 2.39, 1 Sm 2.53
Ir (0.5000, 0.0000, 0.6490) (multiplicity 2)  3 Ga 2.61-2.84



What is the formula in the second record?
Sb2HRh



What is the formula in the eighth record?
Sm3Mg2Pd3